This record from the Alexandria database describes a geometry-optimized MnV2Pb3O9 structure. The functional is PBE with a Hubbard U.

Cell and atoms, written as extended XYZ:
```
15
Lattice="-4.966 2.626 0.573 0.447 -4.483 -3.404 -1.644 -4.295 5.441" Properties=species:S:1:pos:R:3 pbc="T T T"
Mn -0.822 -2.148 2.721
V -1.676 -2.948 -1.021
V -4.486 -3.205 3.632
Pb -2.563 -5.265 1.914
Pb 0.000 0.000 0.000
Pb -3.599 -0.888 0.697
O -5.159 -1.561 3.628
O -4.945 -3.715 1.993
O -2.773 -2.822 3.353
O -3.389 -3.330 -0.743
O -1.218 -2.438 0.618
O -1.003 -4.592 -1.018
O -2.483 1.313 0.286
O 0.224 -2.242 -1.702
O -2.259 -0.929 -1.416
```

The total energy comes out at -6.76 eV/atom.